No. 1
A geometry-optimized Zr3Pa2Co3 structure, computed with PBE.

## Properties
The density of states at the Fermi level comes out at 16.41 states/eV/cell. As for the formation energy from the elements: -0.242 eV/atom. The calculation puts the calculated density at 10.02 g/cm³. As for the symmetry: No. 63.

Lattice parameters (Å, degrees): 3.4528 6.5019 13.9697 90.00 90.00 105.40
Last column: nearest neighbours and their distance in Å.
Fractional positions:
Zr  0.0760  0.1519  0.8761  6 Co 2.82-2.95
Zr  0.9240  0.8481  0.3761  6 Co 2.82-2.95
Zr  0.0760  0.1519  0.6239  6 Co 2.82-2.95
Co  0.4205  0.8411  0.9539  1 Co 2.37, 2 Pa 2.44
Co  0.2951  0.5902  0.2500  2 Pa 2.52
Pa  0.7910  0.5820  0.9132  3 Co 2.44-2.52
Zr  0.4138  0.8277  0.7500  4 Co 2.85-3.14
Co  0.5795  0.1589  0.0461  1 Co 2.37, 2 Pa 2.44
Co  0.7049  0.4098  0.7500  2 Pa 2.52
Pa  0.2090  0.4180  0.0868  3 Co 2.44-2.52
Pa  0.2090  0.4180  0.4132  3 Co 2.44-2.52
Co  0.5795  0.1589  0.4539  1 Co 2.37, 2 Pa 2.44
Zr  0.5862  0.1723  0.2500  4 Co 2.85-3.14
Co  0.4205  0.8411  0.5461  1 Co 2.37, 2 Pa 2.44
Pa  0.7910  0.5820  0.5868  3 Co 2.44-2.52
Zr  0.9240  0.8481  0.1239  6 Co 2.82-2.95

---

No. 2
A geometry-optimized Zr3Pa2Co2 structure, computed with PBE.

## Properties
The density of states at the Fermi level comes out at 10.13 states/eV/cell. As for the formation energy from the elements: -0.223 eV/atom. The calculation puts the calculated density at 9.90 g/cm³. As for the symmetry: No. 2.

Lattice parameters (Å, degrees): 3.3588 5.7669 8.2601 102.59 101.72 106.97
Last column: nearest neighbours and their distance in Å.
Fractional positions:
Zr  0.1784  0.7939  0.5623  3 Co 2.69-2.93
Zr  0.8216  0.2061  0.4377  3 Co 2.69-2.93
Pa  0.3554  0.5244  0.1875  2 Co 2.54
Pa  0.6446  0.4756  0.8125  2 Co 2.54
Zr  0.5000  0.0000  0.0000  4 Co 2.68
Co  0.0507  0.8801  0.2216  2 Pa 2.54, 4 Zr 2.68-2.69
Co  0.9493  0.1199  0.7784  2 Pa 2.54, 4 Zr 2.68-2.69

---

No. 3
A geometry-optimized Zr2PaCo9 structure, computed with PBE.

## Properties
The density of states at the Fermi level comes out at 18.86 states/eV/cell. As for the formation energy from the elements: -0.270 eV/atom. The calculation puts the calculated density at 9.61 g/cm³. As for the symmetry: No. 166.

Lattice parameters (Å, degrees): 4.8446 4.8446 8.5003 73.44 73.44 60.00
Last column: nearest neighbours and their distance in Å.
Fractional positions:
Zr  0.1397  0.1397  0.5810  12 Co 2.77-2.98, 3 Zr 3.08
Pa  0.0000  0.0000  0.0000  6 Co 2.80
Co  0.5862  0.0803  0.7473  7 Co 2.39-2.48
Zr  0.8603  0.8603  0.4190  12 Co 2.77-2.98, 3 Zr 3.08
Co  0.5000  0.5000  0.5000  6 Co 2.44
Co  0.5862  0.5862  0.7473  7 Co 2.39-2.48
Co  0.3348  0.3348  0.9957  6 Co 2.45-2.48
Co  0.9197  0.4138  0.2527  7 Co 2.39-2.48
Co  0.4138  0.4138  0.2527  7 Co 2.39-2.48
Co  0.0803  0.5862  0.7473  7 Co 2.39-2.48
Co  0.6652  0.6652  0.0043  6 Co 2.45-2.48
Co  0.4138  0.9197  0.2527  7 Co 2.39-2.48

---

No. 4
A geometry-optimized ZrPa3Co structure, computed with PBE.

## Properties
The density of states at the Fermi level comes out at 18.49 states/eV/cell. As for the formation energy from the elements: -0.080 eV/atom. The calculation puts the calculated density at 12.61 g/cm³. As for the symmetry: No. 11.

Lattice parameters (Å, degrees): 5.4058 6.6188 6.2265 90.00 90.00 94.36
Last column: nearest neighbours and their distance in Å.
Fractional positions:
Zr  0.4858  0.4225  0.2500  1 Co 2.77
Pa  0.0404  0.7141  0.4767  2 Co 2.61-2.77, 2 Pa 2.82-2.85
Pa  0.9596  0.2859  0.5233  2 Co 2.61-2.77, 2 Pa 2.82-2.85
Co  0.1860  0.0640  0.2500  5 Pa 2.49-2.77, 1 Zr 2.77
Pa  0.5919  0.9090  0.2500  1 Co 2.49
Pa  0.9596  0.2859  0.9767  2 Co 2.61-2.77, 2 Pa 2.82-2.85
Co  0.8140  0.9360  0.7500  5 Pa 2.49-2.77, 1 Zr 2.77
Pa  0.0404  0.7141  0.0233  2 Co 2.61-2.77, 2 Pa 2.82-2.85
Pa  0.4081  0.0910  0.7500  1 Co 2.49
Zr  0.5142  0.5775  0.7500  1 Co 2.77

---

No. 5
A geometry-optimized CoPb2 structure, computed with PBE.

## Properties
The density of states at the Fermi level comes out at 4.08 states/eV/cell. As for the formation energy from the elements: 0.243 eV/atom. The calculation puts the calculated density at 10.81 g/cm³. As for the symmetry: No. 136.

Lattice parameters (Å, degrees): 6.3822 6.3822 3.5716 90.00 90.00 90.00
Last column: nearest neighbours and their distance in Å.
Fractional positions:
Co  0.0000  0.0000  0.0000  6 Pb 2.59-2.62
Pb  0.2130  0.2130  0.5000  3 Co 2.59-2.62
Pb  0.2870  0.7130  0.0000  3 Co 2.59-2.62
Pb  0.7870  0.7870  0.5000  3 Co 2.59-2.62
Co  0.5000  0.5000  0.5000  6 Pb 2.59-2.62
Pb  0.7130  0.2870  0.0000  3 Co 2.59-2.62

---

No. 6
A geometry-optimized CoPb2 structure, computed with PBE.

## Properties
The density of states at the Fermi level comes out at 12.54 states/eV/cell. As for the formation energy from the elements: 1.186 eV/atom. The calculation puts the calculated density at 9.16 g/cm³. As for the symmetry: No. 227.

Lattice parameters (Å, degrees): 6.2367 6.2367 6.2367 60.00 60.00 60.00
Last column: nearest neighbours and their distance in Å.
Fractional positions:
Pb  0.1250  0.6250  0.1250  6 Pb 3.12
Pb  0.1250  0.1250  0.6250  6 Pb 3.12
Pb  0.6250  0.1250  0.1250  6 Pb 3.12
Pb  0.1250  0.1250  0.1250  6 Pb 3.12
Co  0.7500  0.7500  0.7500  12 Pb 3.66, 4 Co 3.82
Co  0.5000  0.5000  0.5000  12 Pb 3.66, 4 Co 3.82

---

No. 7
A geometry-optimized CoPb2 structure, computed with PBE.

## Properties
The density of states at the Fermi level comes out at 10.24 states/eV/cell. As for the formation energy from the elements: 0.578 eV/atom. The calculation puts the calculated density at 10.79 g/cm³. As for the symmetry: No. 194.

Lattice parameters (Å, degrees): 4.5321 4.5321 8.1914 90.00 90.00 120.00
Last column: nearest neighbours and their distance in Å.
Fractional positions:
Pb  0.0000  0.0000  0.5000  6 Co 3.32, 6 Pb 3.32
Pb  0.6667  0.3333  0.2500  3 Co 2.62
Co  0.3333  0.6667  0.2500  3 Pb 2.62
Pb  0.3333  0.6667  0.7500  3 Co 2.62
Co  0.6667  0.3333  0.7500  3 Pb 2.62
Pb  0.0000  0.0000  0.0000  6 Pb 3.32, 6 Co 3.32

---

No. 8
A geometry-optimized Co3Pb structure, computed with PBE.

## Properties
The density of states at the Fermi level comes out at 6.53 states/eV/cell. As for the formation energy from the elements: 0.507 eV/atom. The calculation puts the calculated density at 10.74 g/cm³. As for the symmetry: No. 25.

Lattice parameters (Å, degrees): 2.9960 4.0559 4.8853 90.00 90.00 90.00
Last column: nearest neighbours and their distance in Å.
Fractional positions:
Co  0.5000  0.0000  0.5580  4 Co 2.40-2.45
Co  0.5000  0.5000  0.8387  6 Co 2.45-2.57
Pb  0.0000  0.5000  0.3275  10 Co 2.76-2.91, 2 Pb 3.00
Co  0.0000  0.0000  0.9424  6 Co 2.40-2.57

---

No. 9
A geometry-optimized Co3Pb structure, computed with PBE.

## Properties
The density of states at the Fermi level comes out at 4.91 states/eV/cell. As for the formation energy from the elements: 0.612 eV/atom. The calculation puts the calculated density at 9.71 g/cm³. As for the symmetry: No. 187.

Lattice parameters (Å, degrees): 3.6237 3.6237 5.7721 90.00 90.00 120.00
Last column: nearest neighbours and their distance in Å.
Fractional positions:
Co  0.0000  0.0000  0.0501  4 Co 2.31-2.39
Co  0.0000  0.0000  0.4499  4 Co 2.31-2.39
Pb  0.6667  0.3333  0.7500  8 Co 2.72-2.89
Co  0.6667  0.3333  0.2500  6 Co 2.39

---

No. 10
A geometry-optimized Co3Pb structure, computed with PBE.

## Properties
The density of states at the Fermi level comes out at 12.34 states/eV/cell. As for the formation energy from the elements: 0.383 eV/atom. The calculation puts the calculated density at 10.77 g/cm³. As for the symmetry: No. 59.

Lattice parameters (Å, degrees): 4.0733 5.5154 5.2684 90.00 90.00 90.00
Last column: nearest neighbours and their distance in Å.
Fractional positions:
Pb  0.0000  0.6084  0.0000  10 Co 2.79-2.95
Pb  0.5000  0.3916  0.5000  10 Co 2.79-2.95
Co  0.5000  0.8685  0.2535  6 Co 2.37-2.60
Co  0.0000  0.7776  0.5000  6 Co 2.37-2.47
Co  0.5000  0.8685  0.7465  6 Co 2.37-2.60
Co  0.0000  0.1315  0.7535  6 Co 2.37-2.60
Co  0.0000  0.1315  0.2465  6 Co 2.37-2.60
Co  0.5000  0.2224  0.0000  6 Co 2.37-2.47

---

No. 11
A geometry-optimized CoPb2 structure, computed with PBE.

## Properties
The density of states at the Fermi level comes out at 2.85 states/eV/cell. As for the formation energy from the elements: 0.378 eV/atom. The calculation puts the calculated density at 11.17 g/cm³. As for the symmetry: No. 164.

Lattice parameters (Å, degrees): 3.5154 3.5154 6.5731 90.00 90.00 120.00
Last column: nearest neighbours and their distance in Å.
Fractional positions:
Co  0.0000  0.0000  0.0000  6 Pb 2.73
Pb  0.6667  0.3333  0.2777  3 Co 2.73
Pb  0.3333  0.6667  0.7223  3 Co 2.73

---

No. 12
A geometry-optimized Co3Pb2 structure, computed with PBE.

## Properties
The energy above the most stable polymorph in this dataset comes out at 0 meV per atom. The density of states at the Fermi level comes out at 14.72 states/eV/cell. As for the formation energy from the elements: 0.441 eV/atom. The calculation puts the calculated density at 11.34 g/cm³. As for the symmetry: No. 43.

Lattice parameters (Å, degrees): 8.5135 7.7641 5.1691 79.58 63.76 36.67
Last column: nearest neighbours and their distance in Å.
Fractional positions:
Co  0.0875  0.9125  0.9125  4 Co 2.39-2.41
Co  0.7955  0.9543  0.8481  4 Co 2.39-2.58
Co  0.4021  0.8481  0.9543  4 Co 2.39-2.58
Co  0.2957  0.4545  0.8479  4 Co 2.39-2.58
Pb  0.7357  0.8622  0.4228  8 Co 2.78-3.08
Co  0.4019  0.8479  0.4545  4 Co 2.39-2.58
Pb  0.8272  0.2707  0.5143  8 Co 2.78-3.08
Pb  0.9793  0.4228  0.8622  8 Co 2.78-3.08
Pb  0.3878  0.5143  0.2707  8 Co 2.78-3.08
Co  0.3375  0.1625  0.1625  4 Co 2.39-2.41

---

- calculated density of number 6 (CoPb2)?
  9.16 g/cm³